1.
Here is a geometry-optimized La2ZnAgS structure from the Alexandria database. Energies are from PBE.

* M_tot: 0.00 μB per atom
* VASP energy: -3.7829 eV per atom
* ΔE_f (raw): -0.1614 eV per atom

Cell: 5.7485 5.7485 4.6889 Å, 90.00 90.00 90.00°
Last column: nearest neighbours and their distance in Å.
Space group P4/mmm (No. 123)
Symmetry-distinct sites (fractional):
1 La 0.0000 0.5000 0.0000 x2  2 Ag 2.87
2 Zn 0.0000 0.0000 0.5000 x1  2 Ag 2.34
3 Ag 0.0000 0.0000 0.0000 x1  2 Zn 2.34
4 S 0.5000 0.5000 0.5000 x1  8 La 3.71, 4 Zn 4.06



2.
Here is a geometry-optimized YCd3Pt8 structure from the Alexandria database. Energies are from PBE.

* M_tot: 0.00 μB per atom
* VASP energy: -5.2788 eV per atom

Cell: 5.3934 5.3934 26.2031 Å, 90.00 90.00 120.00°
Last column: nearest neighbours and their distance in Å.
Space group R3m (No. 160, hexagonal axes)
Symmetry-distinct sites (fractional):
1 Y 0.0000 0.0000 0.0000 x3  12 Pt 3.14-3.17, 4 Cd 3.33-3.37
2 Cd 0.0000 0.0000 0.1271 x3  12 Pt 3.07-3.20, 3 Cd 3.25, 1 Y 3.33
3 Cd 0.0000 0.0000 0.4961 x3  12 Pt 3.09-3.19, 4 Cd 3.18-3.25
4 Cd 0.0000 0.0000 0.6173 x3  12 Pt 3.07-3.29, 1 Cd 3.18, 3 Y 3.37
5 Pt 0.0000 0.0000 0.3113 x3  6 Pt 2.68
6 Pt 0.0000 0.0000 0.8111 x3  6 Pt 2.68-2.69
7 Pt 0.1672 0.3343 0.3945 x9  6 Pt 2.68-2.70
8 Pt 0.1671 0.3341 0.8947 x9  6 Pt 2.68-2.70